Version 1
Here is crystalline Cs2CoF at its relaxed geometry from Alexandria via LeMat-Bulk. Energies are from GGA+U.

Calculated values
Total magnetization = 2.0 μB/f.u.
Space-group type = Fm-3m, No. 225
Calculated volume = 145.73 Å³ per cell

Geometry as CIF:
```
data_Cs2CoF
_chemical_formula_sum 'Cs2 Co1 F1'
_symmetry_space_group_name_H-M 'P 1'
_symmetry_Int_Tables_number 1
_cell_length_a 5.907
_cell_length_b 5.907
_cell_length_c 5.907
_cell_angle_alpha 60.00
_cell_angle_beta 60.00
_cell_angle_gamma 60.00
loop_
_symmetry_equiv_pos_as_xyz
'x,y,z'
loop_
_atom_site_label
_atom_site_type_symbol
_atom_site_fract_x
_atom_site_fract_y
_atom_site_fract_z
Cs1 Cs 0.250 0.250 0.250
Cs2 Cs 0.750 0.750 0.750
Co1 Co 0.000 0.000 0.000
F1 F 0.500 0.500 0.500
```


Version 2
Here is crystalline Cs2CoF at its relaxed geometry from Alexandria via LeMat-Bulk. Energies are from GGA+U.

Calculated values
Total magnetization = 2.0 μB/f.u.
Space-group type = I-42d, No. 122
Calculated volume = 368.92 Å³ per cell

Geometry as CIF:
```
data_Cs2CoF
_chemical_formula_sum 'Cs4 Co2 F2'
_symmetry_space_group_name_H-M 'P 1'
_symmetry_Int_Tables_number 1
_cell_length_a 7.866
_cell_length_b 7.866
_cell_length_c 7.866
_cell_angle_alpha 113.77
_cell_angle_beta 113.77
_cell_angle_gamma 101.17
loop_
_symmetry_equiv_pos_as_xyz
'x,y,z'
loop_
_atom_site_label
_atom_site_type_symbol
_atom_site_fract_x
_atom_site_fract_y
_atom_site_fract_z
Cs1 Cs 0.036 0.625 0.911
Cs2 Cs 0.375 0.286 0.411
Cs3 Cs 0.714 0.125 0.089
Cs4 Cs 0.875 0.964 0.589
Co1 Co 0.250 0.750 0.500
Co2 Co 0.500 0.500 0.000
F1 F 0.000 0.000 0.000
F2 F 0.750 0.250 0.500
```


Energy above the most stable structure, in meV per atom: version 1 372; version 2 0


Version 1
Here is crystalline CsCoNF2 at its relaxed geometry from Alexandria via LeMat-Bulk. Energies are from GGA+U.

Calculated values
Total magnetization = 2.4 μB/f.u.
Space-group type = P4/mmm, No. 123
Calculated volume = 76.71 Å³ per cell

Geometry as CIF:
```
data_CsCoNF2
_chemical_formula_sum 'Cs1 Co1 N1 F2'
_symmetry_space_group_name_H-M 'P 1'
_symmetry_Int_Tables_number 1
_cell_length_a 4.619
_cell_length_b 4.619
_cell_length_c 3.596
_cell_angle_alpha 90.00
_cell_angle_beta 90.00
_cell_angle_gamma 90.00
loop_
_symmetry_equiv_pos_as_xyz
'x,y,z'
loop_
_atom_site_label
_atom_site_type_symbol
_atom_site_fract_x
_atom_site_fract_y
_atom_site_fract_z
Cs1 Cs 0.000 0.000 0.000
Co1 Co 0.500 0.500 0.500
N1 N 0.500 0.500 0.000
F1 F 0.000 0.500 0.500
F2 F 0.500 0.000 0.500
```


Version 2
Here is crystalline CsCoNF2 at its relaxed geometry from Alexandria via LeMat-Bulk. Energies are from GGA+U.

Calculated values
Total magnetization = 2.2 μB/f.u.
Space-group type = P4/mmm, No. 123
Calculated volume = 118.77 Å³ per cell

Geometry as CIF:
```
data_CsCoNF2
_chemical_formula_sum 'Cs1 Co1 N1 F2'
_symmetry_space_group_name_H-M 'P 1'
_symmetry_Int_Tables_number 1
_cell_length_a 5.159
_cell_length_b 5.159
_cell_length_c 4.462
_cell_angle_alpha 90.00
_cell_angle_beta 90.00
_cell_angle_gamma 90.00
loop_
_symmetry_equiv_pos_as_xyz
'x,y,z'
loop_
_atom_site_label
_atom_site_type_symbol
_atom_site_fract_x
_atom_site_fract_y
_atom_site_fract_z
Cs1 Cs 0.000 0.000 0.000
Co1 Co 0.500 0.500 0.500
N1 N 0.000 0.000 0.500
F1 F 0.000 0.500 0.000
F2 F 0.500 0.000 0.000
```


Energy above the most stable structure, in meV per atom: version 1 0; version 2 1657


Version 1
Here is crystalline CsCoN2F at its relaxed geometry from Alexandria via LeMat-Bulk. Energies are from GGA+U.

Calculated values
Total magnetization = 0.4 μB/f.u.
Space-group type = P4/mmm, No. 123
Calculated volume = 93.34 Å³ per cell

Geometry as CIF:
```
data_CsCoN2F
_chemical_formula_sum 'Cs1 Co1 N2 F1'
_symmetry_space_group_name_H-M 'P 1'
_symmetry_Int_Tables_number 1
_cell_length_a 3.642
_cell_length_b 3.642
_cell_length_c 7.036
_cell_angle_alpha 90.00
_cell_angle_beta 90.00
_cell_angle_gamma 90.00
loop_
_symmetry_equiv_pos_as_xyz
'x,y,z'
loop_
_atom_site_label
_atom_site_type_symbol
_atom_site_fract_x
_atom_site_fract_y
_atom_site_fract_z
Cs1 Cs 0.000 0.000 0.000
Co1 Co 0.500 0.500 0.500
N1 N 0.000 0.500 0.500
N2 N 0.500 0.000 0.500
F1 F 0.500 0.500 0.000
```


Version 2
Here is crystalline CsCoN2F at its relaxed geometry from Alexandria via LeMat-Bulk. Energies are from GGA+U.

Calculated values
Total magnetization = 3.0 μB/f.u.
Space-group type = P4/mmm, No. 123
Calculated volume = 95.27 Å³ per cell

Geometry as CIF:
```
data_CsCoN2F
_chemical_formula_sum 'Cs1 Co1 N2 F1'
_symmetry_space_group_name_H-M 'P 1'
_symmetry_Int_Tables_number 1
_cell_length_a 4.429
_cell_length_b 4.429
_cell_length_c 4.858
_cell_angle_alpha 90.00
_cell_angle_beta 90.00
_cell_angle_gamma 90.00
loop_
_symmetry_equiv_pos_as_xyz
'x,y,z'
loop_
_atom_site_label
_atom_site_type_symbol
_atom_site_fract_x
_atom_site_fract_y
_atom_site_fract_z
Cs1 Cs 0.000 0.000 0.000
Co1 Co 0.500 0.500 0.500
N1 N 0.000 0.500 0.000
N2 N 0.500 0.000 0.000
F1 F 0.000 0.000 0.500
```


Energy above the most stable structure, in meV per atom: version 1 0; version 2 1759